(1)
DFT (PBE) results for Tm4Al12Os after structural relaxation.

Results
As for the crystal system: cubic. The value obtained for the formation enthalpy at 0 K is -0.45 eV per atom.

Lattice parameters (Å, degrees): 8.596 8.596 8.596 90.00 90.00 90.00
Space group Im-3m (No. 229)
One atom of each set of equivalent atoms:
Tm: 0.250 0.250 0.250 x8
Al: 0.000 0.000 0.288 x12
Al: 0.000 0.250 0.500 x12
Os: 0.000 0.000 0.000 x2

---

(2)
DFT (PBE) results for MnVCoAs after structural relaxation.

Results
As for the crystal system: cubic. The value obtained for the formation enthalpy at 0 K is -0.15 eV per atom.

Lattice parameters (Å, degrees): 5.876 5.876 5.876 90.00 90.00 90.00
Space group F-43m (No. 216)
One atom of each set of equivalent atoms:
Mn: 0.000 0.000 0.000 x4
V: 0.250 0.250 0.750 x4
Co: 0.250 0.250 0.250 x4
As: 0.000 0.000 0.500 x4

---

(3)
DFT (PBE) results for Be2Ga2Ir after structural relaxation.

Results
For the energy relative to the lowest polymorph listed for this composition, the calculation gives 121.4 meV/atom. As for the crystal system: tetragonal. The value obtained for the formation enthalpy at 0 K is 0.14 eV per atom.

Lattice parameters (Å, degrees): 2.945 2.945 14.972 90.00 90.00 90.00
Space group I4/mmm (No. 139)
One atom of each set of equivalent atoms:
Be: 0.000 0.500 0.250 x4
Ga: 0.000 0.000 0.109 x4
Ir: 0.000 0.000 0.500 x2

---

(4)
DFT (PBE) results for CaScMo4 after structural relaxation.

Results
As for the crystal system: cubic. The value obtained for the formation enthalpy at 0 K is 0.27 eV per atom.

Lattice parameters (Å, degrees): 7.715 7.715 7.715 90.00 90.00 90.00
Space group F-43m (No. 216)
One atom of each set of equivalent atoms:
Ca: 0.000 0.000 0.000 x4
Sc: 0.250 0.250 0.250 x4
Mo: 0.125 0.125 0.625 x16

---

(5)
DFT (PBE) results for GdTlRh2 after structural relaxation.

Results
As for the crystal system: tetragonal. The value obtained for the formation enthalpy at 0 K is -0.52 eV per atom.

Lattice parameters (Å, degrees): 4.529 4.529 3.693 90.00 90.00 90.00
Space group P4/mmm (No. 123)
One atom of each set of equivalent atoms:
Gd: 0.000 0.000 0.000 x1
Tl: 0.500 0.500 0.000 x1
Rh: 0.000 0.500 0.500 x2

---

(6)
DFT (PBE) results for Li9CuAg2 after structural relaxation.

Results
As for the crystal system: triclinic. The value obtained for the formation enthalpy at 0 K is -0.08 eV per atom.

Lattice parameters (Å, degrees): 4.274 4.777 11.193 77.99 89.04 63.44
Space group P-1 (No. 2)
One atom of each set of equivalent atoms:
Li: 0.000 0.000 0.000 x1
Li: 0.001 0.999 0.255 x2
Li: 0.327 0.347 0.575 x2
Li: 0.332 0.337 0.845 x2
Li: 0.347 0.302 0.340 x2
Cu: 0.000 0.000 0.500 x1
Ag: 0.337 0.329 0.091 x2

---

(7)
DFT (PBE) results for Na2ScSb after structural relaxation.

Results
As for the crystal system: tetragonal. The energy relative to the elements, uncorrected is -0.18 eV/atom.

Lattice parameters (Å, degrees): 4.240 4.240 24.497 90.00 90.00 90.00
Space group I-42d (No. 122)
One atom of each set of equivalent atoms:
Na: 0.238 0.250 0.125 x8
Sc: 0.000 0.000 0.500 x4
Sb: 0.000 0.000 0.000 x4

---

(8)
DFT (PBE) results for Mg2FeReRh after structural relaxation.

Results
As for the crystal system: tetragonal. The value obtained for the formation enthalpy at 0 K is 0.97 eV per atom.

Lattice parameters (Å, degrees): 4.574 4.574 4.324 90.00 90.00 90.00
Space group P4/mmm (No. 123)
One atom of each set of equivalent atoms:
Mg: 0.000 0.500 0.000 x2
Fe: 0.000 0.000 0.000 x1
Re: 0.000 0.000 0.500 x1
Rh: 0.500 0.500 0.500 x1

---

(9)
DFT (PBE) results for PtAu2I6 after structural relaxation.

Results
For the energy relative to the lowest polymorph listed for this composition, the calculation gives 12.2 meV/atom. As for the crystal system: monoclinic. The energy relative to the elements, uncorrected is -0.07 eV/atom.

Lattice parameters (Å, degrees): 14.547 15.910 6.965 90.00 104.64 90.00
Space group C2/c (No. 15)
One atom of each set of equivalent atoms:
Pt: 0.000 0.060 0.250 x4
Au: 0.108 0.499 0.300 x8
I: 0.106 0.060 0.985 x8
I: 0.118 0.180 0.446 x8
I: 0.119 0.378 0.054 x8

---

(10)
DFT (PBE) results for CrReAg after structural relaxation.

Results
For the energy relative to the lowest polymorph listed for this composition, the calculation gives 603.4 meV/atom. As for the crystal system: cubic. The value obtained for the formation enthalpy at 0 K is 1.04 eV per atom.

Lattice parameters (Å, degrees): 5.864 5.864 5.864 90.00 90.00 90.00
Space group F-43m (No. 216)
One atom of each set of equivalent atoms:
Cr: 0.000 0.000 0.000 x4
Re: 0.250 0.250 0.750 x4
Ag: 0.250 0.250 0.250 x4

---

(11)
DFT (PBE) results for NpTi2Pt after structural relaxation.

Results
For the energy relative to the lowest polymorph listed for this composition, the calculation gives 186.4 meV/atom. As for the crystal system: cubic. The value obtained for the formation enthalpy at 0 K is -0.12 eV per atom.

Lattice parameters (Å, degrees): 6.509 6.509 6.509 90.00 90.00 90.00
Space group Fm-3m (No. 225)
One atom of each set of equivalent atoms:
Np: 0.000 0.000 0.000 x4
Ti: 0.250 0.250 0.250 x8
Pt: 0.000 0.000 0.500 x4

---

(12)
DFT (PBE) results for Ba6Li5In after structural relaxation.

Results
As for the crystal system: monoclinic. The value obtained for the formation enthalpy at 0 K is -0.05 eV per atom.

Lattice parameters (Å, degrees): 6.147 8.834 9.755 90.00 108.31 90.00
Space group P2/m (No. 10)
One atom of each set of equivalent atoms:
Ba: 0.000 0.238 0.000 x2
Ba: 0.340 0.242 0.678 x4
Li: 0.167 0.500 0.336 x2
Li: 0.168 0.000 0.338 x2
Li: 0.500 0.500 0.000 x1
In: 0.500 0.000 0.000 x1

---

| no. | spin magnetization (Bohr magnetons per cell) |
| --- | --- |
| 1 | 0.00 |
| 2 | 8.06 |
| 3 | 0.00 |
| 4 | 0.00 |
| 5 | 7.00 |
| 6 | 0.00 |
| 7 | 1.59 |
| 8 | 1.68 |
| 9 | 0.00 |
| 10 | 0.35 |
| 11 | 17.57 |
| 12 | 0.00 |